1.
A relaxed structure of CoCuPb2, computed with PBE.

Cell lengths 6.907, 6.869, 3.370 Å; angles 90.00, 97.19, 90.00 degrees
Space group C2/m (No. 12)
Unique sites:
Co: 0.000 0.000 0.000 [2 per cell]
Cu: 0.000 0.500 0.000 [2 per cell]
Pb: 0.250 0.250 0.500 [4 per cell]

**Total magnetization**: 2.34 Bohr magnetons per cell
**Calculated formation energy**: 484 meV per atom
**Fermi-level density of states**: 8.81 states/eV/cell
**ΔE to the lowest computed polymorph**: 179 meV per atom

=====

2.
A relaxed structure of Mn2AlPbS, computed with PBE.

Cell lengths 5.164, 5.164, 5.546 Å; angles 90.00, 90.00, 90.00 degrees
Space group P4/mmm (No. 123)
Unique sites:
Mn: 0.000 0.500 0.000 [2 per cell]
Al: 0.000 0.000 0.500 [1 per cell]
Pb: 0.500 0.500 0.000 [1 per cell]
S: 0.500 0.500 0.500 [1 per cell]

**Total magnetization**: 8.81 Bohr magnetons per cell
**ΔE_f (raw)**: 5.7 eV/f.u.
**Fermi-level density of states**: 2.24 states/eV/cell